# Ag2IrAu (meta-GGA SCAN, PBEsol geometry)
# - energy above the most stable polymorph in this dataset (eV/atom) = 0.097
data_Ag2IrAu
_chemical_formula_sum 'Ag2 Ir1 Au1'
_cell_length_a 2.705
_cell_length_b 4.099
_cell_length_c 5.743
_cell_angle_alpha 90.00
_cell_angle_beta 90.00
_cell_angle_gamma 90.00
_symmetry_space_group_name_H-M 'P m m 2'
_symmetry_Int_Tables_number 25
loop_
_symmetry_equiv_pos_as_xyz
'x,y,z'
'-x,-y,z'
'-x,y,z'
'x,-y,z'
loop_
_atom_site_label
_atom_site_fract_x
_atom_site_fract_y
_atom_site_fract_z
Ag1 0.000 0.000 0.000
Ag2 0.500 0.500 0.250
Ir1 0.500 0.500 0.751
Au1 0.000 0.000 0.512



# LaY (meta-GGA SCAN, PBEsol geometry)
# - energy above the most stable polymorph in this dataset (eV/atom) = 0.018
data_LaY
_chemical_formula_sum 'La6 Y6'
_cell_length_a 13.083
_cell_length_b 3.645
_cell_length_c 8.528
_cell_angle_alpha 90.00
_cell_angle_beta 104.02
_cell_angle_gamma 90.00
_symmetry_space_group_name_H-M 'C 1 m 1'
_symmetry_Int_Tables_number 8
loop_
_symmetry_equiv_pos_as_xyz
'x,y,z'
'x,-y,z'
'x+1/2,y+1/2,z'
'x+1/2,-y+1/2,z'
loop_
_atom_site_label
_atom_site_fract_x
_atom_site_fract_y
_atom_site_fract_z
La1 0.000 0.000 0.000
La2 0.055 0.000 0.607
La3 0.166 0.500 0.332
Y1 0.224 0.500 0.942
Y2 0.332 0.000 0.667
Y3 0.384 0.000 0.274



# NaNbPt2C (meta-GGA SCAN, PBEsol geometry)
# - E_tot (eV/cell) = -177.256
data_NaNbPt2C
_chemical_formula_sum 'Na1 Nb1 Pt2 C1'
_cell_length_a 4.561
_cell_length_b 4.561
_cell_length_c 3.935
_cell_angle_alpha 90.00
_cell_angle_beta 90.00
_cell_angle_gamma 90.00
_symmetry_space_group_name_H-M 'P 4/m m m'
_symmetry_Int_Tables_number 123
_symmetry_space_group_name_Hall '-P 4 2'
loop_
_atom_site_label
_atom_site_fract_x
_atom_site_fract_y
_atom_site_fract_z
Na1 0.000 0.000 0.000
Nb1 0.500 0.500 0.500
Pt1 0.000 0.500 0.000
C1 0.000 0.000 0.500



# Rh2AuCN (meta-GGA SCAN, PBEsol geometry)
# - E_tot (eV/cell) = -149.006
data_Rh2AuCN
_chemical_formula_sum 'Rh2 Au1 C1 N1'
_cell_length_a 3.947
_cell_length_b 3.947
_cell_length_c 4.169
_cell_angle_alpha 90.00
_cell_angle_beta 90.00
_cell_angle_gamma 90.00
_symmetry_space_group_name_H-M 'P 4/m m m'
_symmetry_Int_Tables_number 123
_symmetry_space_group_name_Hall '-P 4 2'
loop_
_atom_site_label
_atom_site_fract_x
_atom_site_fract_y
_atom_site_fract_z
Rh1 0.000 0.500 0.000
Au1 0.000 0.000 0.500
C1 0.000 0.000 0.000
N1 0.500 0.500 0.500